# 1
VASP calculation (GGA-PBEsol) on a relaxed structure of HfHgIO2.

Cell: 4.0867 4.0867 5.9639 Å, 90.00 90.00 90.00°
Element x y z (fractional)
I: 0.0000 0.0000 0.5000
Hf: 0.0000 0.0000 0.0000
Hg: 0.5000 0.5000 0.5000
O: 0.0000 0.5000 0.0000
O: 0.5000 0.0000 0.0000

Computed properties:
* E_form (uncorrected): -1.526 eV per atom
* total moment: 0.00 μB/cell
* calculated total energy: -6.193 eV per atom

***

# 2
VASP calculation (GGA-PBEsol) on a relaxed structure of LiMnHg2.

Cell: 3.1604 4.6823 5.1287 Å, 100.84 107.95 90.00°
Site moments in Bohr magnetons follow the coordinates.
Element x y z (fractional)
Hg: 0.0060 0.0519 0.0120  0.00
Hg: 0.2458 0.7019 0.4915  -0.03
Li: 0.5009 0.5366 0.0019  0.00
Mn: 0.7473 0.2096 0.4946  3.79

Computed properties:
* ΔH_f (0 K): 4 kJ/mol of atoms
* total moment: 3.92 μB/cell
* calculated total energy: -3.178 eV per atom